TcHCNO | PBE | relaxed

a b c (Å): 7.397 2.875 5.020
angles (deg): 90.00 109.72 90.00
Atoms (fractional coordinates):
Tc: 0.294 0.000 0.284
Tc: 0.294 0.500 0.784
H: 0.700 0.000 0.116
H: 0.700 0.500 0.616
C: 0.016 0.000 0.226
C: 0.016 0.500 0.726
N: 0.848 0.000 0.156
N: 0.848 0.500 0.656
O: 0.466 0.000 0.039
O: 0.466 0.500 0.539

Total DFT energy (no corrections) = -7.434 eV per atom
Spin magnetization = 0.00 μB per formula unit
Crystal system = monoclinic
Space-group type = Cm, No. 8